Density functional theory data (PBE-GGA) for a geometry-optimized TaNb14Sn structure.

Computed properties:
calculated volume: 295.5 Å³ per cell
raw total energy: -9.851 eV/atom
DOS at the Fermi energy: 18.6 states/eV per cell
ΔH_f (0 K): -49.0 meV per atom

a = 6.658 Å, b = 6.658 Å, c = 6.666 Å
α = 90.00°, β = 90.00°, γ = 90.00°
Positions (direct):
1 Ta 0.000 0.000 0.000
2 Nb 0.000 0.000 0.500
3 Nb 0.000 0.500 0.000
4 Nb 0.000 0.500 0.500
5 Nb 0.245 0.245 0.255
6 Nb 0.245 0.245 0.745
7 Nb 0.245 0.755 0.255
8 Nb 0.245 0.755 0.745
9 Nb 0.500 0.000 0.000
10 Nb 0.500 0.000 0.500
11 Nb 0.500 0.500 0.500
12 Nb 0.755 0.245 0.255
13 Nb 0.755 0.245 0.745
14 Nb 0.755 0.755 0.255
15 Nb 0.755 0.755 0.745
16 Sn 0.500 0.500 0.000


Density functional theory data (PBE-GGA) for a geometry-optimized TaNb4Sn2 structure.

Computed properties:
calculated volume: 142.2 Å³ per cell
raw total energy: -8.538 eV/atom
DOS at the Fermi energy: 5.8 states/eV per cell
ΔH_f (0 K): 52.9 meV per atom

a = 6.378 Å, b = 6.378 Å, c = 3.502 Å
α = 90.00°, β = 90.00°, γ = 93.45°
Positions (direct):
1 Ta 0.000 0.000 0.000
2 Nb 0.000 0.500 0.000
3 Nb 0.243 0.757 0.500
4 Nb 0.500 0.000 0.000
5 Nb 0.757 0.243 0.500
6 Sn 0.282 0.282 0.500
7 Sn 0.718 0.718 0.500


Density functional theory data (PBE-GGA) for a geometry-optimized TaNb2Sn structure.

Computed properties:
calculated volume: 75.8 Å³ per cell
raw total energy: -8.950 eV/atom
DOS at the Fermi energy: 3.3 states/eV per cell
ΔH_f (0 K): 49.2 meV per atom

a = 4.687 Å, b = 4.687 Å, c = 4.898 Å
α = 121.48°, β = 121.48°, γ = 63.01°
Positions (direct):
1 Ta 0.000 0.000 0.000
2 Nb 0.250 0.250 0.751
3 Nb 0.500 0.500 0.501
4 Sn 0.750 0.750 0.251


Density functional theory data (PBE-GGA) for a geometry-optimized TaNb3Sn structure.

Computed properties:
calculated volume: 190.1 Å³ per cell
raw total energy: -9.241 eV/atom
DOS at the Fermi energy: 10.3 states/eV per cell
ΔH_f (0 K): -27.9 meV per atom

a = 7.637 Å, b = 7.637 Å, c = 5.882 Å
α = 107.20°, β = 107.20°, γ = 35.67°
Positions (direct):
1 Ta 0.207 0.207 0.304
2 Ta 0.793 0.793 0.696
3 Nb 0.205 0.205 0.800
4 Nb 0.394 0.394 0.110
5 Nb 0.397 0.397 0.614
6 Nb 0.603 0.603 0.386
7 Nb 0.606 0.606 0.890
8 Nb 0.795 0.795 0.200
9 Sn 0.000 0.000 0.000
10 Sn 0.000 0.000 0.500


Density functional theory data (PBE-GGA) for a geometry-optimized TaNb2Sn structure.

Computed properties:
calculated volume: 79.9 Å³ per cell
raw total energy: -8.759 eV/atom
DOS at the Fermi energy: 3.7 states/eV per cell
ΔH_f (0 K): 239.4 meV per atom

a = 9.113 Å, b = 9.113 Å, c = 9.113 Å
α = 20.32°, β = 20.32°, γ = 20.32°
Positions (direct):
1 Ta 0.000 0.000 0.000
2 Nb 0.255 0.255 0.255
3 Nb 0.412 0.412 0.412
4 Sn 0.833 0.833 0.833


Density functional theory data (PBE-GGA) for a geometry-optimized Ta2NbSn structure.

Computed properties:
calculated volume: 154.4 Å³ per cell
raw total energy: -9.424 eV/atom
DOS at the Fermi energy: 6.8 states/eV per cell
ΔH_f (0 K): 20.0 meV per atom

a = 2.965 Å, b = 7.180 Å, c = 7.410 Å
α = 83.43°, β = 81.75°, γ = 83.52°
Positions (direct):
1 Ta 0.085 0.199 0.423
2 Ta 0.158 0.683 0.941
3 Ta 0.842 0.317 0.059
4 Ta 0.915 0.801 0.577
5 Nb 0.372 0.552 0.313
6 Nb 0.628 0.448 0.687
7 Sn 0.339 0.077 0.788
8 Sn 0.661 0.923 0.212


- Among the records above, which one has the lowest DOS at the Fermi energy?
  number 3


- Which value of ΔH_f (0 K) does entry 2 give?
  52.9 meV per atom


- What is the formula in the third record?
  TaNb2Sn


- Which value of raw total energy does entry 5 give?
  -8.759 eV/atom